Here is a geometry-optimized CdRuIN2 structure from Alexandria via LeMat-Bulk. Energies are from PBE-GGA.

a b c (Å): 3.961 3.961 5.809
angles (deg): 90.00 90.00 90.00
Fractional coordinates of all 5 atoms:
N: 0.000 0.500 0.000
N: 0.500 0.000 0.000
I: 0.000 0.000 0.500
Cd: 0.500 0.500 0.500
Ru: 0.000 0.000 0.000

**Raw total energy**: -4.76 eV/atom
**V**: 91 Å³ per cell
**Crystal system**: tetragonal
**Excess energy over the best structure of this formula in the dataset**: 0 kJ/mol of formula units
**M_tot**: 0.0721 μB/atom
**Uncorrected formation energy**: 0.914 eV/atom
**Space group**: P4/mmm (123)

Here is a geometry-optimized Li2Ac2Au3 structure from Alexandria via LeMat-Bulk. Energies are from PBE-GGA.

a b c (Å): 4.226 5.955 7.752
angles (deg): 113.28 90.00 110.78
Fractional coordinates of all 7 atoms:
Li: 0.864 0.729 0.778
Li: 0.136 0.271 0.222
Ac: 0.865 0.730 0.247
Ac: 0.135 0.270 0.753
Au: 0.368 0.735 0.569
Au: 0.632 0.265 0.431
Au: 0.500 0.000 0.000

**Raw total energy**: -3.69 eV/atom
**V**: 165 Å³ per cell
**Crystal system**: monoclinic
**Excess energy over the best structure of this formula in the dataset**: 68 kJ/mol of formula units
**M_tot**: 0.0002 μB/atom
**E_form**: -3.952 eV/f.u.
**Space group**: C2/m (12)

Here is a geometry-optimized CaYTi2Ni structure from Alexandria via LeMat-Bulk. Energies are from PBE-GGA.

a b c (Å): 4.623 4.623 5.381
angles (deg): 90.00 90.00 90.00
Fractional coordinates of all 5 atoms:
Y: 0.000 0.000 0.500
Ti: 0.000 0.500 0.000
Ti: 0.500 0.000 0.000
Ni: 0.500 0.500 0.500
Ca: 0.000 0.000 0.000

**Raw total energy**: -4.27 eV/atom
**V**: 115 Å³ per cell
**Crystal system**: tetragonal
**M_tot**: 0.0873 μB/atom
**E_form**: 8.706 eV/f.u.
**Space group**: P4/mmm (123)

Here is a geometry-optimized CoHg2Pb structure from Alexandria via LeMat-Bulk. Energies are from PBE-GGA.

a b c (Å): 7.183 7.183 4.511
angles (deg): 71.68 71.68 24.46
Fractional coordinates of all 4 atoms:
Hg: 0.922 0.922 0.078
Hg: 0.753 0.753 0.747
Pb: 0.575 0.575 0.425
Co: 0.250 0.250 0.250

**Raw total energy**: -2.57 eV/atom
**V**: 91 Å³ per cell
**Crystal system**: orthorhombic
**M_tot**: 0.1152 μB/atom
**E_form**: 1.119 eV/f.u.
**Space group**: Imm2 (44)

Here is a geometry-optimized Ac2PuHg4 structure from Alexandria via LeMat-Bulk. Energies are from PBE-GGA.

a b c (Å): 5.561 5.561 7.533
angles (deg): 90.00 90.00 90.00
Fractional coordinates of all 7 atoms:
Ac: 0.000 0.000 0.000
Ac: 0.500 0.500 0.500
Hg: 0.500 0.000 0.248
Hg: 0.500 0.000 0.752
Hg: 0.000 0.500 0.752
Hg: 0.000 0.500 0.248
Pu: 0.500 0.500 0.000

**Raw total energy**: -3.64 eV/atom
**V**: 233 Å³ per cell
**Crystal system**: tetragonal
**M_tot**: 0.8641 μB/atom
**E_form**: -1.709 eV/f.u.
**Space group**: P4/mmm (123)

Here is a geometry-optimized La3GaB structure from Alexandria via LeMat-Bulk. Energies are from PBE-GGA.

a b c (Å): 5.437 5.437 5.437
angles (deg): 90.00 90.00 90.00
Fractional coordinates of all 5 atoms:
B: 0.000 0.000 0.000
Ga: 0.500 0.500 0.500
La: 0.000 0.500 0.000
La: 0.000 0.000 0.500
La: 0.500 0.000 0.000

**Raw total energy**: -4.96 eV/atom
**V**: 161 Å³ per cell
**Crystal system**: cubic
**M_tot**: 0.0000 μB/atom
**E_form**: -0.293 eV/f.u.
**Space group**: Pm-3m (221)